Record 1
VASP calculation (PBE-GGA) on crystalline SiAsW2 at its relaxed geometry.

Lattice parameters (Å, degrees): 3.094 3.094 6.241 90.00 90.00 90.00
Space group P4/mmm (No. 123)
Unique sites:
1 Si 0.000 0.000 0.000 x1
2 As 0.000 0.000 0.500 x1
3 W 0.500 0.500 0.234 x2

magnetization = 0.00 Bohr magnetons per cell
total DFT energy (no corrections) = -0.324 Ha/atom
DOS at the Fermi energy = 1.033 states/eV per atom
offset from the most stable computed form = 0.255 eV per atom


Record 2
VASP calculation (PBE-GGA) on crystalline Si2AsW at its relaxed geometry.

Lattice parameters (Å, degrees): 3.213 4.335 4.345 90.00 90.00 90.00
Space group Pmmm (No. 47)
Unique sites:
1 Si 0.000 0.000 0.000 x1
2 Si 0.500 0.500 0.000 x1
3 As 0.000 0.500 0.500 x1
4 W 0.500 0.000 0.500 x1

magnetization = 0.00 Bohr magnetons per cell
total DFT energy (no corrections) = -0.241 Ha/atom
DOS at the Fermi energy = 0.521 states/eV per atom


Record 3
VASP calculation (PBE-GGA) on crystalline Si2AsW at its relaxed geometry.

Lattice parameters (Å, degrees): 3.338 4.618 9.410 90.00 90.00 90.00
Space group Cmm2 (No. 35)
Unique sites:
1 Si 0.000 0.000 0.000 x2
2 Si 0.000 0.500 0.196 x2
3 As 0.000 0.500 0.618 x2
4 W 0.000 0.000 0.408 x2

magnetization = 0.00 Bohr magnetons per cell
total DFT energy (no corrections) = -0.244 Ha/atom
DOS at the Fermi energy = 0.539 states/eV per atom


Record 4
VASP calculation (PBE-GGA) on crystalline Si2AsW at its relaxed geometry.

Lattice parameters (Å, degrees): 3.234 4.340 4.726 90.00 103.03 90.00
Space group Pm (No. 6)
Unique sites:
1 Si 0.000 0.000 0.000 x1
2 Si 0.026 0.500 0.300 x1
3 As 0.650 0.500 0.744 x1
4 W 0.635 0.000 0.422 x1

magnetization = 0.00 Bohr magnetons per cell
total DFT energy (no corrections) = -0.247 Ha/atom
DOS at the Fermi energy = 0.251 states/eV per atom


Record 5
VASP calculation (PBE-GGA) on crystalline SiAs2W at its relaxed geometry.

Lattice parameters (Å, degrees): 4.271 3.443 9.111 90.00 90.00 90.00
Space group Amm2 (No. 38)
Unique sites:
1 Si 0.000 0.000 0.000 x2
2 As 0.000 0.000 0.731 x2
3 As 0.500 0.000 0.434 x2
4 W 0.500 0.000 0.148 x2

magnetization = 0.00 Bohr magnetons per cell
total DFT energy (no corrections) = -0.247 Ha/atom
DOS at the Fermi energy = 0.339 states/eV per atom


Record 6
VASP calculation (PBE-GGA) on crystalline SiAsW2 at its relaxed geometry.

Lattice parameters (Å, degrees): 8.491 2.977 4.990 90.00 101.11 90.00
Space group C2/m (No. 12)
Unique sites:
1 Si 0.000 0.000 0.000 x2
2 As 0.000 0.500 0.500 x2
3 W 0.232 0.500 0.240 x4

magnetization = 0.00 Bohr magnetons per cell
total DFT energy (no corrections) = -0.319 Ha/atom
DOS at the Fermi energy = 0.776 states/eV per atom
offset from the most stable computed form = 0.378 eV per atom


Record 7
VASP calculation (PBE-GGA) on crystalline Si2AsW at its relaxed geometry.

Lattice parameters (Å, degrees): 3.417 4.237 9.050 90.00 90.00 90.00
Space group Cmmm (No. 65)
Unique sites:
1 Si 0.000 0.000 0.221 x4
2 As 0.000 0.500 0.500 x2
3 W 0.000 0.500 0.000 x2

magnetization = 0.00 Bohr magnetons per cell
total DFT energy (no corrections) = -0.246 Ha/atom
DOS at the Fermi energy = 0.518 states/eV per atom


Record 8
VASP calculation (PBE-GGA) on crystalline Si2AsW at its relaxed geometry.

Lattice parameters (Å, degrees): 3.176 3.176 6.559 90.00 90.00 90.00
Space group P4mm (No. 99)
Unique sites:
1 Si 0.000 0.000 0.000 x1
2 Si 0.500 0.500 0.204 x1
3 As 0.500 0.500 0.633 x1
4 W 0.000 0.000 0.408 x1

magnetization = 0.00 Bohr magnetons per cell
total DFT energy (no corrections) = -0.251 Ha/atom
DOS at the Fermi energy = 0.689 states/eV per atom


Record 9
VASP calculation (PBE-GGA) on crystalline Si2AsW at its relaxed geometry.

Lattice parameters (Å, degrees): 2.9609 2.9609 27.5067 90.00 90.00 120.00
Space group R3m (No. 160, hexagonal axes)
Unique sites:
1 Si 0.0000 0.0000 0.0000 x3
2 Si 0.0000 0.0000 0.2573 x3
3 As 0.0000 0.0000 0.4758 x3
4 W 0.0000 0.0000 0.7372 x3

magnetization = 0.00 Bohr magnetons per cell
total DFT energy (no corrections) = -0.248 Ha/atom
DOS at the Fermi energy = 0.701 states/eV per atom


Record 10
VASP calculation (PBE-GGA) on crystalline SiAsW2 at its relaxed geometry.

Lattice parameters (Å, degrees): 2.9447 2.9447 24.5094 90.00 90.00 120.00
Space group R-3m (No. 166, hexagonal axes)
Unique sites:
1 Si 0.0000 0.0000 0.0000 x3
2 As 0.0000 0.0000 0.5000 x3
3 W 0.0000 0.0000 0.2501 x6

magnetization = 0.00 Bohr magnetons per cell
total DFT energy (no corrections) = -0.318 Ha/atom
DOS at the Fermi energy = 1.092 states/eV per atom
offset from the most stable computed form = 0.409 eV per atom


Record 11
VASP calculation (PBE-GGA) on crystalline SiAs2W at its relaxed geometry.

Lattice parameters (Å, degrees): 3.535 4.393 9.315 90.00 90.00 90.00
Space group Cmm2 (No. 35)
Unique sites:
1 Si 0.000 0.000 0.000 x2
2 As 0.000 0.000 0.414 x2
3 As 0.000 0.500 0.765 x2
4 W 0.000 0.500 0.205 x2

magnetization = 0.00 Bohr magnetons per cell
total DFT energy (no corrections) = -0.240 Ha/atom
DOS at the Fermi energy = 0.303 states/eV per atom


Record 12
VASP calculation (PBE-GGA) on crystalline Si2AsW at its relaxed geometry.

Lattice parameters (Å, degrees): 8.617 3.212 4.603 90.00 94.32 90.00
Space group C2/m (No. 12)
Unique sites:
1 Si 0.227 0.000 0.199 x4
2 As 0.000 0.000 0.500 x2
3 W 0.000 0.500 0.000 x2

magnetization = 0.00 Bohr magnetons per cell
total DFT energy (no corrections) = -0.249 Ha/atom
DOS at the Fermi energy = 0.487 states/eV per atom


Record 13
VASP calculation (PBE-GGA) on crystalline SiAs2W at its relaxed geometry.

Lattice parameters (Å, degrees): 4.537 4.537 3.133 90.00 90.00 90.00
Space group P4/mmm (No. 123)
Unique sites:
1 Si 0.000 0.000 0.000 x1
2 As 0.000 0.500 0.500 x2
3 W 0.500 0.500 0.000 x1

magnetization = 0.00 Bohr magnetons per cell
total DFT energy (no corrections) = -0.231 Ha/atom
DOS at the Fermi energy = 0.713 states/eV per atom


Record 14
VASP calculation (PBE-GGA) on crystalline SiAsW2 at its relaxed geometry.

Lattice parameters (Å, degrees): 3.239 4.510 9.418 90.00 90.00 90.00
Space group Cmm2 (No. 35)
Unique sites:
1 Si 0.000 0.000 0.000 x2
2 As 0.000 0.500 0.678 x2
3 W 0.000 0.000 0.452 x2
4 W 0.000 0.500 0.217 x2

magnetization = 0.00 Bohr magnetons per cell
total DFT energy (no corrections) = -0.320 Ha/atom
DOS at the Fermi energy = 0.687 states/eV per atom
offset from the most stable computed form = 0.354 eV per atom


Record 15
VASP calculation (PBE-GGA) on crystalline SiAs2W at its relaxed geometry.

Lattice parameters (Å, degrees): 3.0524 3.0524 26.4960 90.00 90.00 120.00
Space group R-3m (No. 166, hexagonal axes)
Unique sites:
1 Si 0.0000 0.0000 0.0000 x3
2 As 0.0000 0.0000 0.2396 x6
3 W 0.0000 0.0000 0.5000 x3

magnetization = 0.00 Bohr magnetons per cell
total DFT energy (no corrections) = -0.242 Ha/atom
DOS at the Fermi energy = 0.257 states/eV per atom